Material: CaCrMo2
Method: DFT, PBE-GGA
State: relaxed

VASP energy: -31.00 eV per cell
D(E_F): 0.93 states/eV per atom
symmetry: P4mm, No. 99
energy relative to the lowest polymorph listed for this composition: 0.0078 eV per atom

Lattice parameters (Å, degrees): 3.4006 3.4006 6.9065 90.00 90.00 90.00
Fractional coordinates of all 4 atoms:
Ca (0.0000, 0.0000, 0.0000)
Cr (0.5000, 0.5000, 0.3382)
Mo (0.0000, 0.0000, 0.4836)
Mo (0.5000, 0.5000, 0.6597)